Entry 1:
A plane-wave DFT calculation with SCAN was carried out for a PBEsol-optimized structure of Bi4Rh.

Summary:
E_form in eV per atom: -0.090

Structure (CIF):
```
data_Bi4Rh
_chemical_formula_sum 'Bi96 Rh24'
_cell_length_a 14.880
_cell_length_b 14.880
_cell_length_c 14.880
_cell_angle_alpha 90.00
_cell_angle_beta 90.00
_cell_angle_gamma 90.00
_space_group_name_H-M_alt 'I a -3 d'
_space_group_IT_number 230
_space_group_name_Hall '-I 4bd 2c 3'
loop_
_atom_site_label
_atom_site_fract_x
_atom_site_fract_y
_atom_site_fract_z
Bi1 0.026 0.062 0.652
Rh1 0.000 0.250 0.125
```

=====

Entry 2:
A plane-wave DFT calculation with SCAN was carried out for a PBEsol-optimized structure of Bi14Rh3.

Summary:
E_form in eV per atom: -0.061

Structure (CIF):
```
data_Bi14Rh3
_chemical_formula_sum 'Bi112 Rh24'
_cell_length_a 6.812
_cell_length_b 17.377
_cell_length_c 31.596
_cell_angle_alpha 90.00
_cell_angle_beta 90.00
_cell_angle_gamma 90.00
_space_group_name_H-M_alt 'F d d d'
_space_group_IT_number 70
loop_
_space_group_symop_operation_xyz
'x,y,z'
'-x,-y,-z'
'-x+1/4,-y+1/4,z'
'x+1/4,y+1/4,-z'
'x,-y+1/4,-z+1/4'
'-x,y+1/4,z+1/4'
'-x+1/4,y,-z+1/4'
'x+1/4,-y,z+1/4'
'x,y+1/2,z+1/2'
'-x,-y+1/2,-z+1/2'
'-x+1/4,-y+3/4,z+1/2'
'x+1/4,y+3/4,-z+1/2'
'x,-y+3/4,-z+3/4'
'-x,y+3/4,z+3/4'
'-x+1/4,y+1/2,-z+3/4'
'x+1/4,-y+1/2,z+3/4'
'x+1/2,y,z+1/2'
'-x+1/2,-y,-z+1/2'
'-x+3/4,-y+1/4,z+1/2'
'x+3/4,y+1/4,-z+1/2'
'x+1/2,-y+1/4,-z+3/4'
'-x+1/2,y+1/4,z+3/4'
'-x+3/4,y,-z+3/4'
'x+3/4,-y,z+3/4'
'x+1/2,y+1/2,z'
'-x+1/2,-y+1/2,-z'
'-x+3/4,-y+3/4,z'
'x+3/4,y+3/4,-z'
'x+1/2,-y+3/4,-z+1/4'
'-x+1/2,y+3/4,z+1/4'
'-x+3/4,y+1/2,-z+1/4'
'x+3/4,-y+1/2,z+1/4'
loop_
_atom_site_label
_atom_site_fract_x
_atom_site_fract_y
_atom_site_fract_z
Bi1 0.009 0.255 0.428
Bi2 0.069 0.315 0.927
Bi3 0.094 0.343 0.516
Bi4 0.125 0.345 0.625
Rh1 0.000 0.000 0.000
Rh2 0.125 0.125 0.125
```

=====

Entry 3:
A plane-wave DFT calculation with SCAN was carried out for a PBEsol-optimized structure of Bi3Rh.

Summary:
E_form in eV per atom: -0.085

Structure (CIF):
```
data_Bi3Rh
_chemical_formula_sum 'Bi12 Rh4'
_cell_length_a 8.802
_cell_length_b 4.237
_cell_length_c 11.318
_cell_angle_alpha 90.00
_cell_angle_beta 90.00
_cell_angle_gamma 90.00
_space_group_name_H-M_alt 'P n m a'
_space_group_IT_number 62
_space_group_name_Hall '-P 2ac 2n'
loop_
_atom_site_label
_atom_site_fract_x
_atom_site_fract_y
_atom_site_fract_z
Bi1 0.095 0.250 0.181
Bi2 0.102 0.250 0.596
Bi3 0.201 0.250 0.888
Rh1 0.102 0.750 0.022
```

=====

Entry 4:
A plane-wave DFT calculation with SCAN was carried out for a PBEsol-optimized structure of Bi3RuRh.

Summary:
E_form in eV per atom: 0.945

Structure (CIF):
```
data_Bi3RuRh
_chemical_formula_sum 'Bi3 Ru1 Rh1'
_cell_length_a 5.106
_cell_length_b 5.106
_cell_length_c 5.106
_cell_angle_alpha 90.00
_cell_angle_beta 90.00
_cell_angle_gamma 90.00
_space_group_name_H-M_alt 'P m -3 m'
_space_group_IT_number 221
_space_group_name_Hall '-P 4 2 3'
loop_
_atom_site_label
_atom_site_fract_x
_atom_site_fract_y
_atom_site_fract_z
Bi1 0.000 0.000 0.500
Ru1 0.000 0.000 0.000
Rh1 0.500 0.500 0.500
```

=====

Entry 5:
A plane-wave DFT calculation with SCAN was carried out for a PBEsol-optimized structure of BiRhS.

Summary:
Formation energy (no corrections) in meV per atom: -480

Structure (CIF):
```
data_BiRhS
_chemical_formula_sum 'Bi4 Rh4 S4'
_cell_length_a 6.112
_cell_length_b 6.112
_cell_length_c 6.112
_cell_angle_alpha 90.00
_cell_angle_beta 90.00
_cell_angle_gamma 90.00
_space_group_name_H-M_alt 'P 21 3'
_space_group_IT_number 198
_space_group_name_Hall 'P 2ac 2ab 3'
loop_
_atom_site_label
_atom_site_fract_x
_atom_site_fract_y
_atom_site_fract_z
Bi1 0.130 0.370 0.630
Rh1 0.025 0.975 0.475
S1 0.120 0.120 0.120
```

=====

Entry 6:
A plane-wave DFT calculation with SCAN was carried out for a PBEsol-optimized structure of BiRh3S.

Summary:
Formation energy (no corrections) in meV per atom: 1626

Structure (CIF):
```
data_BiRh3S
_chemical_formula_sum 'Bi1 Rh3 S1'
_cell_length_a 4.897
_cell_length_b 4.897
_cell_length_c 4.897
_cell_angle_alpha 90.00
_cell_angle_beta 90.00
_cell_angle_gamma 90.00
_space_group_name_H-M_alt 'P m -3 m'
_space_group_IT_number 221
_space_group_name_Hall '-P 4 2 3'
loop_
_atom_site_label
_atom_site_fract_x
_atom_site_fract_y
_atom_site_fract_z
Bi1 0.000 0.000 0.000
Rh1 0.000 0.000 0.500
S1 0.500 0.500 0.500
```

=====

Entry 7:
A plane-wave DFT calculation with SCAN was carried out for a PBEsol-optimized structure of BiRhS2.

Summary:
Formation energy (no corrections) in meV per atom: -457

Structure (CIF):
```
data_BiRhS2
_chemical_formula_sum 'Bi3 Rh3 S6'
_cell_length_a 3.5068
_cell_length_b 3.5068
_cell_length_c 23.9026
_cell_angle_alpha 90.00
_cell_angle_beta 90.00
_cell_angle_gamma 120.00
_space_group_name_H-M_alt 'R -3 m'
_space_group_IT_number 166
_space_group_name_Hall '-R 3 2"'
loop_
_atom_site_label
_atom_site_fract_x
_atom_site_fract_y
_atom_site_fract_z
Bi1 0.0000 0.0000 0.0000
Rh1 0.0000 0.0000 0.5000
S1 0.0000 0.0000 0.1174
```

=====

Entry 8:
A plane-wave DFT calculation with SCAN was carried out for a PBEsol-optimized structure of SiBi2RhS.

Summary:
Formation energy (no corrections) in meV per atom: 349

Structure (CIF):
```
data_SiBi2RhS
_chemical_formula_sum 'Si1 Bi2 Rh1 S1'
_cell_length_a 5.328
_cell_length_b 5.328
_cell_length_c 4.388
_cell_angle_alpha 90.00
_cell_angle_beta 90.00
_cell_angle_gamma 90.00
_space_group_name_H-M_alt 'P 4/m m m'
_space_group_IT_number 123
_space_group_name_Hall '-P 4 2'
loop_
_atom_site_label
_atom_site_fract_x
_atom_site_fract_y
_atom_site_fract_z
Si1 0.000 0.000 0.000
Bi1 0.000 0.500 0.500
Rh1 0.000 0.000 0.500
S1 0.500 0.500 0.000
```

=====

Entry 9:
A plane-wave DFT calculation with SCAN was carried out for a PBEsol-optimized structure of BiSb3Rh.

Summary:
Formation energy (no corrections) in meV per atom: 1677

Structure (CIF):
```
data_BiSb3Rh
_chemical_formula_sum 'Bi1 Sb3 Rh1'
_cell_length_a 5.620
_cell_length_b 5.620
_cell_length_c 5.620
_cell_angle_alpha 90.00
_cell_angle_beta 90.00
_cell_angle_gamma 90.00
_space_group_name_H-M_alt 'P m -3 m'
_space_group_IT_number 221
_space_group_name_Hall '-P 4 2 3'
loop_
_atom_site_label
_atom_site_fract_x
_atom_site_fract_y
_atom_site_fract_z
Bi1 0.000 0.000 0.000
Sb1 0.000 0.000 0.500
Rh1 0.500 0.500 0.500
```

=====

Entry 10:
A plane-wave DFT calculation with SCAN was carried out for a PBEsol-optimized structure of BiSb2Rh.

Summary:
Formation energy (no corrections) in meV per atom: -14

Structure (CIF):
```
data_BiSb2Rh
_chemical_formula_sum 'Bi4 Sb8 Rh4'
_cell_length_a 6.386
_cell_length_b 6.386
_cell_length_c 12.291
_cell_angle_alpha 90.00
_cell_angle_beta 90.00
_cell_angle_gamma 90.00
_space_group_name_H-M_alt 'I -4 2 d'
_space_group_IT_number 122
_space_group_name_Hall 'I -4 2bw'
loop_
_atom_site_label
_atom_site_fract_x
_atom_site_fract_y
_atom_site_fract_z
Bi1 0.000 0.000 0.000
Sb1 0.183 0.250 0.625
Rh1 0.000 0.000 0.500
```